A relaxed LiCrSb crystal. Source: the Alexandria database, functional PBE-GGA.

a b c (Å): 3.875 3.875 7.015
angles (deg): 90.00 90.00 90.00
Sites, in units of the cell vectors:
Li: 0.250 0.250 0.169
Li: 0.750 0.750 0.831
Cr: 0.250 0.750 0.500
Cr: 0.750 0.250 0.500
Sb: 0.250 0.250 0.759
Sb: 0.750 0.750 0.241

density: 5.70 g cm⁻³
V: 17.6 Å³ per atom
uncorrected formation energy: -0.09 eV per atom
Fermi-level density of states: 1.053 states/eV/atom
excess energy over the best structure of this formula in the dataset: 0.000 eV/atom
total DFT energy (no corrections): -5.3106 eV per atom